Crystalline BeW at its relaxed geometry, computed with GGA-PBEsol.

Calculated total energy, eV/atom: -8.67
D(E_F), states/eV/f.u.: 0.734
Total magnetization, μB per cell: 0.00
ΔH_f (0 K), eV per formula unit: 0.47

Cell lengths 9.1582, 2.6341, 6.5065 Å; angles 90.00, 109.96, 90.00 degrees
Space group Cm (No. 8)
Unique sites:
Be  0.0000  0.0000  0.0000 x2
Be  0.0680  0.0000  0.5027 x2
Be  0.1556  0.5000  0.2912 x2
W  0.1815  0.5000  0.8476 x2
W  0.3664  0.0000  0.6291 x2
W  0.3671  0.0000  0.2176 x2